Density functional theory data (PBE+U) for crystalline SrYMn2F at its relaxed geometry.

**SG**: No. 123
**Magnetization**: 9.89 μB per cell
**V**: 163.7 Å³ per cell
**Raw total energy**: -5.037 eV per atom
**ρ**: 3.10 g/cm³
**N(E_F)**: 0.6351 states/eV per atom

Structure (CIF):
```
data_SrYMn2F
_space_group_name_H-M_alt 'P 1'
_space_group_IT_number 1
_cell_length_a 6.160
_cell_length_b 6.160
_cell_length_c 4.314
_cell_angle_alpha 90.00
_cell_angle_beta 90.00
_cell_angle_gamma 90.00
loop_
_space_group_symop_operation_xyz
'x,y,z'
loop_
_atom_site_label
_atom_site_fract_x
_atom_site_fract_y
_atom_site_fract_z
Sr1 0.000 0.000 0.000
Y1 0.500 0.500 0.500
Mn1 0.000 0.500 0.000
Mn2 0.500 0.000 0.000
F1 0.000 0.000 0.500
```